The following is a DFT calculation (SCAN) of NaNi2O4 at its PBEsol-relaxed geometry.

Calculated values
As for the magnetization: 0.1429 μB/atom. Its formation energy from raw total energies is -1328 meV per atom. As for the excess energy over the best structure of this formula in the dataset: 0.004 eV/atom.

Unit cell a=8.5604 b=2.8270 c=10.4122 alpha=90.00 beta=90.00 gamma=90.00
Last column: nearest neighbours and their distance in Å.
Space group Pnma (No. 62)
Symmetry-distinct sites (fractional):
1 Na 0.2399 0.2500 0.1642 x4  8 O 2.31-2.38
2 Ni 0.0627 0.2500 0.3872 x4  6 O 1.88-2.02
3 Ni 0.0856 0.2500 0.9026 x4  6 O 1.89-1.93
4 O 0.0324 0.7500 0.7908 x4  3 Ni 1.89-2.02
5 O 0.0748 0.2500 0.5745 x4  3 Ni 1.88-1.95
6 O 0.1159 0.7500 0.0207 x4  3 Ni 1.89-1.90
7 O 0.2005 0.7500 0.3455 x4  3 Ni 1.89-1.93